Material: SmNi2PH
Method: DFT, PBE-GGA
State: optimized geometry

Calculated values
Total energy (eV per atom): -5.807
Density of states at the Fermi level (states/eV per atom): 0.4165

Cell lengths 3.7522, 5.4321, 6.6419 Å; angles 90.00, 90.00, 110.20 degrees
Closest atoms and distances in Å follow each position.
Fractional positions:
1 Ni 0.1685 0.3370 0.5595  1 H 1.76
2 Ni 0.8315 0.6630 0.0595  1 H 1.76
3 Ni 0.1685 0.3370 0.9405  1 H 1.76
4 Ni 0.8315 0.6630 0.4405  1 H 1.76
5 Sm 0.4420 0.8840 0.7500  4 H 2.57, 1 P 2.87
6 Sm 0.5580 0.1160 0.2500  4 H 2.57, 1 P 2.87
7 H 0.0000 0.0000 0.0000  2 Ni 1.76
8 H 0.0000 0.0000 0.5000  2 Ni 1.76
9 P 0.7238 0.4476 0.7500  6 Ni 2.33
10 P 0.2762 0.5524 0.2500  6 Ni 2.33